## La2Nd2Ge2N (GGA-PBE)

Data for a relaxed structure of La2Nd2Ge2N.

POSCAR file:
```
La2Nd2Ge2N
1.0
-3.5920 0.4233 3.2443
2.8733 -1.8962 3.4286
2.9368 8.0718 -1.4397
Nd La Ge N
2 2 2 1
Direct
0.0000 0.5000 0.0000
0.5000 0.0000 0.0000
0.8304 0.8304 0.6608
0.1696 0.1696 0.3392
0.3651 0.3651 0.7301
0.6349 0.6349 0.2699
0.0000 0.0000 0.0000
```

Computed properties:
Its calculated density is 6.38 g/cm³. The crystal system is tetragonal. The calculation puts the uncorrected formation energy at -0.893 eV/atom. Its space-group type is I4/mmm (139).

=====

## LaNd2GeN4 (GGA-PBE)

Data for a relaxed structure of LaNd2GeN4.

POSCAR file:
```
LaNd2GeN4
1.0
3.6556 0.0000 0.0000
-1.8278 5.9135 0.0000
0.0000 0.0000 12.1048
N Nd La Ge
8 4 2 2
Direct
0.2729 0.5457 0.3684
0.0000 0.0000 0.0000
0.7271 0.4543 0.6316
0.4170 0.8340 0.7500
0.2729 0.5457 0.1316
0.0000 0.0000 0.5000
0.7271 0.4543 0.8684
0.5830 0.1660 0.2500
0.3691 0.7382 0.9553
0.6309 0.2618 0.0447
0.6309 0.2618 0.4553
0.3691 0.7382 0.5447
0.9009 0.8018 0.2500
0.0991 0.1982 0.7500
0.1672 0.3345 0.2500
0.8328 0.6655 0.7500
```

Computed properties:
Its calculated density is 7.06 g/cm³. The crystal system is orthorhombic. The calculation puts the uncorrected formation energy at -0.944 eV/atom. Its space-group type is Cmcm (63).